VASP calculation (PBE) on a relaxed Ce3Th2In4 crystal.

Cell lengths 4.854, 5.745, 10.436 Å; angles 76.26, 90.00, 65.01 degrees
Site moments in Bohr magnetons follow the coordinates.
Element x y z (fractional)
Ce1 0.361 0.278 0.439  0.58
Ce2 0.000 0.000 0.000  0.55
Ce3 0.639 0.722 0.561  0.58
In1 0.984 0.033 0.663  0.00
In2 0.016 0.967 0.337  0.00
In3 0.668 0.664 0.896  0.00
In4 0.332 0.336 0.104  0.00
Th1 0.668 0.664 0.218  0.07
Th2 0.332 0.336 0.782  0.07

Properties
DOS(E_F)	19.28	states/eV/f.u.
total moment	2.24	μB per cell
calculated volume	28.28	Å³ per atom
energy	-5.096	eV per atom
space group	No. 12